1.
# PrErTh2S4 (PBE-GGA, relaxed)
data_PrErTh2S4
_chemical_formula_sum 'Pr1 Er1 Th2 S4'
_cell_length_a 6.8871
_cell_length_b 4.0058
_cell_length_c 7.0278
_cell_angle_alpha 90.00
_cell_angle_beta 109.20
_cell_angle_gamma 90.00
_space_group_name_H-M_alt 'P 1 2/m 1'
_space_group_IT_number 10
loop_
_space_group_symop_operation_xyz
'x,y,z'
'-x,-y,-z'
'-x,y,-z'
'x,-y,z'
loop_
_atom_site_label
_atom_site_fract_x
_atom_site_fract_y
_atom_site_fract_z
_atom_site_occupancy
Pr1 0.0000 0.0000 0.0000 1
Er1 0.5000 0.5000 0.0000 1
Th1 0.0000 0.5000 0.5000 1
Th2 0.5000 0.0000 0.5000 1
S1 0.2584 0.5000 0.2448 1
S2 0.2634 0.0000 0.7618 1
# Formation energy (no corrections)   -15.12 eV per formula unit
# D(E_F)   0.58 states/eV/atom
# Magnetic moment   0.0 μB per formula unit

---

2.
# PrEr2Th3S6 (PBE-GGA, relaxed)
data_PrEr2Th3S6
_chemical_formula_sum 'Pr2 Er4 Th6 S12'
_cell_length_a 6.8487
_cell_length_b 11.7928
_cell_length_c 7.0701
_cell_angle_alpha 90.00
_cell_angle_beta 108.61
_cell_angle_gamma 90.00
_space_group_name_H-M_alt 'C 1 2/m 1'
_space_group_IT_number 12
loop_
_space_group_symop_operation_xyz
'x,y,z'
'-x,-y,-z'
'-x,y,-z'
'x,-y,z'
'x+1/2,y+1/2,z'
'-x+1/2,-y+1/2,-z'
'-x+1/2,y+1/2,-z'
'x+1/2,-y+1/2,z'
loop_
_atom_site_label
_atom_site_fract_x
_atom_site_fract_y
_atom_site_fract_z
_atom_site_occupancy
Pr1 0.0000 0.0000 0.0000 1
Er1 0.0000 0.3327 0.0000 1
Th1 0.0000 0.1609 0.5000 1
Th2 0.0000 0.5000 0.5000 1
S1 0.2310 0.5000 0.2320 1
S2 0.2471 0.3269 0.7604 1
# Formation energy (no corrections)   -22.66 eV per formula unit
# D(E_F)   0.58 states/eV/atom
# Magnetic moment   0.0 μB per formula unit

---

3.
# Pr2ErThS4 (PBE-GGA, relaxed)
data_Pr2ErThS4
_chemical_formula_sum 'Pr2 Er1 Th1 S4'
_cell_length_a 6.9921
_cell_length_b 3.9977
_cell_length_c 7.0185
_cell_angle_alpha 90.00
_cell_angle_beta 109.05
_cell_angle_gamma 90.00
_space_group_name_H-M_alt 'P 1 2/m 1'
_space_group_IT_number 10
loop_
_space_group_symop_operation_xyz
'x,y,z'
'-x,-y,-z'
'-x,y,-z'
'x,-y,z'
loop_
_atom_site_label
_atom_site_fract_x
_atom_site_fract_y
_atom_site_fract_z
_atom_site_occupancy
Pr1 0.0000 0.0000 0.0000 1
Pr2 0.0000 0.5000 0.5000 1
Er1 0.5000 0.0000 0.5000 1
Th1 0.5000 0.5000 0.0000 1
S1 0.2605 0.0000 0.7446 1
S2 0.2672 0.5000 0.2638 1
# Formation energy (no corrections)   -15.60 eV per formula unit
# D(E_F)   0.45 states/eV/atom
# Magnetic moment   0.0 μB per formula unit

---

4.
# Pr2ErTl3S6 (PBE-GGA, relaxed)
data_Pr2ErTl3S6
_chemical_formula_sum 'Pr4 Er2 Tl6 S12'
_cell_length_a 7.1818
_cell_length_b 12.4313
_cell_length_c 7.8732
_cell_angle_alpha 90.00
_cell_angle_beta 107.68
_cell_angle_gamma 90.00
_space_group_name_H-M_alt 'C 1 2/m 1'
_space_group_IT_number 12
loop_
_space_group_symop_operation_xyz
'x,y,z'
'-x,-y,-z'
'-x,y,-z'
'x,-y,z'
'x+1/2,y+1/2,z'
'-x+1/2,-y+1/2,-z'
'-x+1/2,y+1/2,-z'
'x+1/2,-y+1/2,z'
loop_
_atom_site_label
_atom_site_fract_x
_atom_site_fract_y
_atom_site_fract_z
_atom_site_occupancy
Pr1 0.0000 0.1667 0.0000 1
Er1 0.0000 0.5000 0.0000 1
Tl1 0.0000 0.0000 0.5000 1
Tl2 0.0000 0.3326 0.5000 1
S1 0.2274 0.3398 0.2013 1
S2 0.2474 0.0000 0.2042 1
# Formation energy (no corrections)   -17.46 eV per formula unit
# D(E_F)   0.00 states/eV/atom
# Magnetic moment   0.0 μB per formula unit